(1)
PBE-GGA Na12SnAu6, optimized geometry; space-group type = No. 204; E_form = -0.215 eV/atom
1.0
-5.0501 5.0501 5.0501
5.0501 -5.0501 5.0501
5.0501 5.0501 -5.0501
Na Sn Au
12 1 6
direct
0.1118 0.2867 0.8251
0.1749 0.4616 0.2867
0.1749 0.8882 0.7133
0.2867 0.1749 0.4616
0.2867 0.8251 0.1118
0.4616 0.2867 0.1749
0.5384 0.7133 0.8251
0.7133 0.1749 0.8882
0.7133 0.8251 0.5384
0.8251 0.1118 0.2867
0.8251 0.5384 0.7133
0.8882 0.7133 0.1749
0.0000 0.0000 0.0000
0.1371 0.5000 0.6371
0.3629 0.8629 0.5000
0.5000 0.3629 0.8629
0.5000 0.6371 0.1371
0.6371 0.1371 0.5000
0.8629 0.5000 0.3629

---

(2)
PBE-GGA AlAs, optimized geometry; space-group type = No. 12; E_form = 0.073 eV/atom
1.0
5.1724 -1.4185 0.0000
5.1724 1.4185 0.0000
-2.6760 0.0000 5.0414
Al As
2 2
direct
0.1826 0.1826 0.2582
0.8174 0.8174 0.7418
0.4305 0.4305 0.2196
0.5695 0.5695 0.7804

---

(3)
PBE-GGA CeDy2Te5, optimized geometry; space-group type = No. 140; E = -0.374 Ry per atom
1.0
-4.0811 4.0811 7.0798
4.0811 -4.0811 7.0798
4.0811 4.0811 -7.0798
Ce Dy Te
2 4 10
direct
0.2500 0.2500 0.0000
0.7500 0.7500 0.0000
0.1513 0.6513 0.8026
0.3487 0.1513 0.5000
0.6513 0.8487 0.5000
0.8487 0.3487 0.1974
0.0000 0.0000 0.0000
0.0094 0.1923 0.5000
0.1923 0.6923 0.1829
0.3077 0.4906 0.5000
0.4906 0.9906 0.1829
0.5000 0.5000 0.0000
0.5094 0.0094 0.8171
0.6923 0.5094 0.5000
0.8077 0.3077 0.8171
0.9906 0.8077 0.5000

---

(4)
PBE-GGA InFe3Si, optimized geometry; space-group type = No. 221; E = -0.461 Ry per atom
1.0
4.2602 0.0000 0.0000
0.0000 4.2602 0.0000
0.0000 0.0000 4.2602
In Fe Si
1 3 1
direct
0.0000 0.0000 0.0000
0.0000 0.5000 0.5000
0.5000 0.0000 0.5000
0.5000 0.5000 0.0000
0.5000 0.5000 0.5000

---

Total magnetization for every record listed, in sequence, given in μB/cell: 0.0 0.0 0.6 5.4.